# 1
## KBe2Sb (PBE-GGA)

Data for an optimized crystal structure of KBe2Sb.

a b c (Å): 7.298 7.298 7.298
angles (deg): 30.70 30.70 30.70
Atoms (fractional coordinates):
K (0.000, 0.000, 0.000)
Be (0.459, 0.459, 0.459)
Be (0.793, 0.793, 0.793)
Sb (0.191, 0.191, 0.191)

Output
electronic total energy = -11.92 eV for the cell shown
volume = 22.5 Å³/atom


# 2
## K2BeSb2 (PBE-GGA)

Data for an optimized crystal structure of K2BeSb2.

a b c (Å): 7.122 7.122 5.822
angles (deg): 90.00 90.00 90.00
Atoms (fractional coordinates):
K (0.166, 0.334, 0.000)
K (0.334, 0.834, 0.000)
K (0.666, 0.166, 0.000)
K (0.834, 0.666, 0.000)
Be (0.000, 0.000, 0.500)
Be (0.500, 0.500, 0.500)
Sb (0.149, 0.649, 0.500)
Sb (0.351, 0.149, 0.500)
Sb (0.649, 0.851, 0.500)
Sb (0.851, 0.351, 0.500)

Output
electronic total energy = -28.95 eV for the cell shown
volume = 29.5 Å³/atom


# 3
## KBe2Sb (PBE-GGA)

Data for an optimized crystal structure of KBe2Sb.

a b c (Å): 4.498 4.498 4.106
angles (deg): 90.00 90.00 90.00
Atoms (fractional coordinates):
K (0.000, 0.000, 0.000)
Be (0.000, 0.500, 0.500)
Be (0.500, 0.000, 0.500)
Sb (0.500, 0.500, 0.000)

Output
electronic total energy = -9.06 eV for the cell shown
volume = 20.8 Å³/atom


Total moment: 0.0, 0.0, 0.0 (μB/f.u.)